1.
{"formula": "Pr2InBr", "functional": "PBE", "state": "optimized geometry", "space_group": "No. 25", "e_form_raw_ev_per_atom": -0.817, "de_polymorph_kj_per_mol_fu": 0, "e_tot_ev_per_atom": -4.309, "lattice": [[5.081, 0.000, 0.000], [0.000, 6.286, 0.000], [0.000, 0.000, 3.862]], "species": ["Pr", "Pr", "In", "Br"], "frac_coords": [[0.000, 0.000, 0.000], [0.500, 0.500, 0.498], [0.500, 0.000, 0.501], [0.000, 0.500, 0.999]]}


2.
{"formula": "HfTa3Be", "functional": "PBE", "state": "optimized geometry", "space_group": "No. 221", "de_polymorph_kj_per_mol_fu": 863, "e_tot_ev_per_atom": -7.590, "ef_ev_per_atom": 2.26, "lattice": [[4.882, 0.000, 0.000], [0.000, 4.882, 0.000], [0.000, 0.000, 4.882]], "species": ["Hf", "Ta", "Ta", "Ta", "Be"], "frac_coords": [[0.000, 0.000, 0.000], [0.000, 0.000, 0.500], [0.000, 0.500, 0.000], [0.500, 0.000, 0.000], [0.500, 0.500, 0.500]]}


3.
{"formula": "CsScZnF6", "functional": "PBE", "state": "optimized geometry", "space_group": "No. 74", "e_form_raw_ev_per_atom": -3.204, "e_tot_ev_per_atom": -5.392, "lattice": [[-3.751, 3.874, 5.425], [3.751, -3.874, 5.425], [3.751, 3.874, -5.425]], "species": ["Cs", "Cs", "Sc", "Sc", "Zn", "Zn", "F", "F", "F", "F", "F", "F", "F", "F", "F", "F", "F", "F"], "frac_coords": [[0.355, 0.105, 0.250], [0.645, 0.895, 0.750], [0.000, 0.500, 0.500], [0.500, 0.500, 0.000], [0.000, 0.000, 0.500], [0.000, 0.500, 0.000], [0.066, 0.427, 0.250], [0.066, 0.816, 0.250], [0.066, 0.817, 0.639], [0.316, 0.566, 0.750], [0.323, 0.183, 0.750], [0.323, 0.573, 0.139], [0.677, 0.427, 0.861], [0.677, 0.817, 0.250], [0.684, 0.434, 0.250], [0.934, 0.183, 0.361], [0.934, 0.184, 0.750], [0.934, 0.573, 0.750]]}


| no. | density of states at the Fermi level (states/eV/f.u.) |
| --- | --- |
| 1 | 1.87 |
| 2 | 4.67 |
| 3 | 0.00 |